Entry 1:
The following is a DFT calculation (PBE) of a relaxed Pr6Cu8P8O3 crystal.

- space group = C222, No. 21
- uncorrected energy (eV/atom) = -6.000
- volume (A^3/atom) = 16.9
- E_form (uncorrected) (eV/atom) = -1.216

Unit cell a=13.6719 b=13.6719 c=5.6255 alpha=90.00 beta=90.00 gamma=156.25
Fractional coordinates of all 25 atoms:
Pr: 0.6849 0.7857 0.7354
Pr: 0.2143 0.3151 0.2646
Pr: 0.7857 0.6849 0.2646
Pr: 0.3151 0.2143 0.7354
Pr: 0.5000 0.0000 0.2497
Pr: 0.0000 0.5000 0.7503
Cu: 0.6534 0.3466 0.5000
Cu: 0.1553 0.8447 0.0000
Cu: 0.1539 0.8461 0.5000
Cu: 0.6539 0.3461 0.0000
Cu: 0.8461 0.1539 0.5000
Cu: 0.3461 0.6539 0.0000
Cu: 0.3466 0.6534 0.5000
Cu: 0.8447 0.1553 0.0000
P: 0.8611 0.6495 0.7555
P: 0.3505 0.1389 0.2445
P: 0.6495 0.8611 0.2445
P: 0.1389 0.3505 0.7555
P: 0.5435 0.9555 0.7488
P: 0.0445 0.4565 0.2512
P: 0.9555 0.5435 0.2512
P: 0.4565 0.0445 0.7488
O: 0.5000 0.5000 0.5000
O: 0.5000 0.5000 0.0000
O: 0.0000 0.0000 0.5000

---

Entry 2:
The following is a DFT calculation (PBE) of a relaxed CrMoBr2 crystal.

- space group = P4/mmm, No. 123
- uncorrected energy (eV/atom) = -5.194
- energy above the lowest structure with this stoichiometry (meV per atom) = 730
- volume (A^3/atom) = 19.5
- E_form (uncorrected) (eV/atom) = 0.756

Unit cell a=4.7339 b=4.7339 c=3.4847 alpha=90.00 beta=90.00 gamma=90.00
Fractional coordinates of all 4 atoms:
Br: 0.0000 0.0000 0.0000
Br: 0.5000 0.5000 0.0000
Cr: 0.5000 0.0000 0.5000
Mo: 0.0000 0.5000 0.5000

---

Entry 3:
The following is a DFT calculation (PBE) of a relaxed CaAcNiSb crystal.

- space group = F-43m, No. 216
- uncorrected energy (eV/atom) = -4.451
- volume (A^3/atom) = 27.8
- E_form (uncorrected) (eV/atom) = -0.447

Unit cell a=5.4002 b=5.4002 c=5.4002 alpha=60.00 beta=60.00 gamma=60.00
Fractional coordinates of all 4 atoms:
Sb: 0.7500 0.7500 0.7500
Ac: 0.0000 0.0000 0.0000
Ca: 0.5000 0.5000 0.5000
Ni: 0.2500 0.2500 0.2500

---

Entry 4:
The following is a DFT calculation (PBE) of a relaxed CeCd2Au crystal.

- space group = P4/mmm, No. 123
- uncorrected energy (eV/atom) = -2.968
- volume (A^3/atom) = 23.2
- formation energy (eV/atom) = -0.208

Unit cell a=3.4476 b=3.4476 c=7.8100 alpha=90.00 beta=90.00 gamma=90.00
Fractional coordinates of all 4 atoms:
Au: 0.5000 0.5000 0.0000
Ce: 0.5000 0.5000 0.5000
Cd: 0.0000 0.0000 0.7917
Cd: 0.0000 0.0000 0.2083

---

Entry 5:
The following is a DFT calculation (PBE) of a relaxed ScAsPBr2 crystal.

- space group = P4/mmm, No. 123
- uncorrected energy (eV/atom) = -4.009
- energy above the lowest structure with this stoichiometry (meV per atom) = 0
- volume (A^3/atom) = 29.7
- E_form (uncorrected) (eV/atom) = -0.061

Unit cell a=5.0862 b=5.0862 c=5.7351 alpha=90.00 beta=90.00 gamma=90.00
Fractional coordinates of all 5 atoms:
Sc: 0.0000 0.0000 0.0000
P: 0.5000 0.5000 0.5000
As: 0.0000 0.0000 0.5000
Br: 0.0000 0.5000 0.0000
Br: 0.5000 0.0000 0.0000

---

Entry 6:
The following is a DFT calculation (PBE) of a relaxed Hf2NpPa crystal.

- space group = P4/mmm, No. 123
- uncorrected energy (eV/atom) = -10.310
- energy above the lowest structure with this stoichiometry (meV per atom) = 0
- volume (A^3/atom) = 23.2
- formation energy (eV/atom) = 0.276

Unit cell a=3.0767 b=3.0767 c=9.8017 alpha=90.00 beta=90.00 gamma=90.00
Fractional coordinates of all 4 atoms:
Np: 0.5000 0.5000 0.0000
Pa: 0.5000 0.5000 0.5000
Hf: 0.0000 0.0000 0.7538
Hf: 0.0000 0.0000 0.2462

---

Entry 7:
The following is a DFT calculation (PBE) of a relaxed Tb3Tm8Mg crystal.

- space group = Pm, No. 6
- uncorrected energy (eV/atom) = -4.242
- volume (A^3/atom) = 30.3
- formation energy (eV/atom) = 0.030

Unit cell a=3.5420 b=12.7501 c=11.8963 alpha=47.74 beta=107.33 gamma=89.99
Fractional coordinates of all 12 atoms:
Tb: 0.5968 0.2543 0.8467
Tb: 0.4017 0.4674 0.1514
Tb: 0.4069 0.7363 0.1566
Tm: 0.5998 0.7994 0.8496
Tm: 0.2022 0.1399 0.4520
Tm: 0.0154 0.0796 0.7653
Tm: 0.2074 0.4105 0.4572
Tm: 0.8010 0.5803 0.5511
Tm: 0.9882 0.9140 0.2381
Tm: 0.3892 0.2056 0.1394
Tm: 0.7961 0.8535 0.5457
Mg: 0.5935 0.5288 0.8435

---

Entry 8:
The following is a DFT calculation (PBE) of a relaxed Ti2CuPRh crystal.

- space group = P4/mmm, No. 123
- uncorrected energy (eV/atom) = -6.552
- volume (A^3/atom) = 17.7
- formation energy (eV/atom) = -0.022

Unit cell a=4.5233 b=4.3192 c=4.5233 alpha=90.00 beta=90.00 gamma=90.00
Fractional coordinates of all 5 atoms:
P: 0.0000 0.0000 0.0000
Rh: 0.0000 0.5000 0.0000
Cu: 0.5000 0.5000 0.5000
Ti: 0.0000 0.0000 0.5000
Ti: 0.5000 0.0000 0.0000